[1]
Crystalline La2CuPb at its relaxed geometry. Source: Alexandria via LeMat-Bulk, functional PBE.

total magnetization = 0.000 Bohr magnetons per cell
crystal system = tetragonal
space group = P4mm (99)
ΔE_f = -0.083 eV/atom

a b c (Å): 3.611 3.611 8.911
angles (deg): 90.00 90.00 90.00
Fractional positions:
La 0.000 0.000 0.000
La 0.500 0.500 0.344
Cu 0.500 0.500 0.801
Pb 0.000 0.000 0.617



[2]
Crystalline YNbGa2 at its relaxed geometry. Source: Alexandria via LeMat-Bulk, functional PBE.

total magnetization = 1.692 Bohr magnetons per cell
crystal system = cubic
space group = Fm-3m (225)
energy relative to the lowest polymorph listed for this composition = 3.04 kcal/mol of atoms
ΔE_f = -0.220 eV/atom

a b c (Å): 4.810 4.810 4.810
angles (deg): 60.00 60.00 60.00
Fractional positions:
Y 0.000 0.000 0.000
Nb 0.500 0.500 0.500
Ga 0.250 0.250 0.250
Ga 0.750 0.750 0.750



[3]
Crystalline Li3Zn2RuO6 at its relaxed geometry. Source: Alexandria via LeMat-Bulk, functional PBE.

total magnetization = 3.015 Bohr magnetons per cell
crystal system = monoclinic
space group = C2/m (12)
uncorrected formation energy = -17.741 eV/f.u.

a b c (Å): 5.252 5.252 5.200
angles (deg): 99.93 99.93 119.81
Fractional positions:
Li 0.000 0.000 0.000
Li 0.335 0.665 0.000
Li 0.665 0.335 0.000
Zn 0.167 0.833 0.500
Zn 0.833 0.167 0.500
Ru 0.500 0.500 0.500
O 0.110 0.422 0.264
O 0.264 0.264 0.729
O 0.422 0.110 0.264
O 0.578 0.890 0.736
O 0.736 0.736 0.271
O 0.890 0.578 0.736



[4]
Crystalline NaLi4Zn3F12 at its relaxed geometry. Source: Alexandria via LeMat-Bulk, functional PBE.

total magnetization = 1.180 Bohr magnetons per cell
crystal system = cubic
space group = Im-3 (204)
uncorrected formation energy = -49.205 eV/f.u.

a b c (Å): 6.545 6.545 6.545
angles (deg): 109.47 109.47 109.47
Fractional positions:
Na 0.000 0.000 0.000
Li 0.000 0.000 0.500
Li 0.000 0.500 0.000
Li 0.500 0.000 0.000
Li 0.500 0.500 0.500
Zn 0.000 0.500 0.500
Zn 0.500 0.000 0.500
Zn 0.500 0.500 0.000
F 0.137 0.315 0.822
F 0.178 0.493 0.315
F 0.178 0.863 0.685
F 0.315 0.178 0.493
F 0.315 0.822 0.137
F 0.493 0.315 0.178
F 0.507 0.685 0.822
F 0.685 0.178 0.863
F 0.685 0.822 0.507
F 0.822 0.137 0.315
F 0.822 0.507 0.685
F 0.863 0.685 0.178



[5]
Crystalline Sc2BeAlPt at its relaxed geometry. Source: Alexandria via LeMat-Bulk, functional PBE.

total magnetization = 0.000 Bohr magnetons per cell
crystal system = tetragonal
space group = P4/mmm (123)
ΔE_f = -0.274 eV/atom

a b c (Å): 4.731 4.731 4.126
angles (deg): 90.00 90.00 90.00
Fractional positions:
Sc 0.000 0.500 0.000
Sc 0.500 0.000 0.000
Be 0.000 0.000 0.000
Al 0.500 0.500 0.500
Pt 0.000 0.000 0.500



[6]
Crystalline PrRe4Ge12 at its relaxed geometry. Source: Alexandria via LeMat-Bulk, functional PBE.

total magnetization = 0.000 Bohr magnetons per cell
crystal system = cubic
space group = Im-3 (204)
ΔE_f = 0.292 eV/atom

a b c (Å): 7.699 7.699 7.699
angles (deg): 109.47 109.47 109.47
Fractional positions:
Pr 0.000 0.000 0.000
Re 0.000 0.000 0.500
Re 0.000 0.500 0.000
Re 0.500 0.000 0.000
Re 0.500 0.500 0.500
Ge 0.161 0.336 0.497
Ge 0.161 0.664 0.825
Ge 0.175 0.839 0.336
Ge 0.336 0.175 0.839
Ge 0.336 0.497 0.161
Ge 0.497 0.161 0.336
Ge 0.503 0.839 0.664
Ge 0.664 0.503 0.839
Ge 0.664 0.825 0.161
Ge 0.825 0.161 0.664
Ge 0.839 0.336 0.175
Ge 0.839 0.664 0.503



[7]
Crystalline KZnIrAuO at its relaxed geometry. Source: Alexandria via LeMat-Bulk, functional PBE.

total magnetization = 0.000 Bohr magnetons per cell
crystal system = trigonal
space group = R3m (160)
energy relative to the lowest polymorph listed for this composition = 1.15 kcal/mol of atoms
uncorrected formation energy = -1.667 eV/f.u.

a b c (Å): 7.238 7.238 7.238
angles (deg): 35.58 35.58 35.58
Fractional positions:
K 0.000 0.000 0.000
Zn 0.181 0.181 0.181
Ir 0.806 0.806 0.806
Au 0.524 0.524 0.524
O 0.716 0.716 0.716



[8]
Crystalline Sm2Er15Tm2 at its relaxed geometry. Source: Alexandria via LeMat-Bulk, functional PBE.

total magnetization = 0.035 Bohr magnetons per cell
crystal system = trigonal
space group = R-3m (166)
ΔE_f = 0.283 eV/atom

a b c (Å): 8.648 8.648 8.648
angles (deg): 80.04 80.04 80.04
Fractional positions:
Sm 0.174 0.174 0.174
Sm 0.826 0.826 0.826
Er 0.000 0.500 0.500
Er 0.134 0.134 0.647
Er 0.134 0.647 0.134
Er 0.202 0.500 0.798
Er 0.202 0.798 0.500
Er 0.353 0.866 0.866
Er 0.500 0.000 0.500
Er 0.500 0.202 0.798
Er 0.500 0.500 0.000
Er 0.500 0.798 0.202
Er 0.647 0.134 0.134
Er 0.798 0.202 0.500
Er 0.798 0.500 0.202
Er 0.866 0.353 0.866
Er 0.866 0.866 0.353
Tm 0.402 0.402 0.402
Tm 0.598 0.598 0.598



[9]
Crystalline Tc2HgF at its relaxed geometry. Source: Alexandria via LeMat-Bulk, functional PBE.

total magnetization = 0.000 Bohr magnetons per cell
crystal system = tetragonal
space group = I-42d (122)
energy relative to the lowest polymorph listed for this composition = 0.00 kcal/mol of atoms
uncorrected formation energy = 1.416 eV/f.u.

a b c (Å): 9.881 9.881 9.881
angles (deg): 157.93 157.93 31.40
Fractional positions:
Tc 0.051 0.625 0.926
Tc 0.375 0.301 0.426
Tc 0.699 0.125 0.074
Tc 0.875 0.949 0.574
Hg 0.250 0.750 0.500
Hg 0.500 0.500 0.000
F 0.000 0.000 0.000
F 0.750 0.250 0.500



[10]
Crystalline CaW2AuS at its relaxed geometry. Source: Alexandria via LeMat-Bulk, functional PBE.

total magnetization = 0.000 Bohr magnetons per cell
crystal system = tetragonal
space group = P4/mmm (123)
uncorrected formation energy = 14.928 eV/f.u.

a b c (Å): 4.785 4.785 5.025
angles (deg): 90.00 90.00 90.00
Fractional positions:
Ca 0.000 0.000 0.000
W 0.000 0.500 0.000
W 0.500 0.000 0.000
Au 0.000 0.000 0.500
S 0.500 0.500 0.500



[11]
Crystalline VReSb2Te at its relaxed geometry. Source: Alexandria via LeMat-Bulk, functional PBE.

total magnetization = 4.192 Bohr magnetons per cell
crystal system = tetragonal
space group = P4/mmm (123)
uncorrected formation energy = 6.483 eV/f.u.

a b c (Å): 5.115 5.115 5.042
angles (deg): 90.00 90.00 90.00
Fractional positions:
V 0.000 0.000 0.000
Re 0.500 0.500 0.500
Sb 0.000 0.500 0.000
Sb 0.500 0.000 0.000
Te 0.000 0.000 0.500



[12]
Crystalline KScTl4 at its relaxed geometry. Source: Alexandria via LeMat-Bulk, functional PBE.

total magnetization = 0.004 Bohr magnetons per cell
crystal system = cubic
space group = F-43m (216)
energy relative to the lowest polymorph listed for this composition = 5.38 kcal/mol of atoms
ΔE_f = 0.145 eV/atom

a b c (Å): 6.379 6.379 6.379
angles (deg): 60.00 60.00 60.00
Fractional positions:
K 0.000 0.000 0.000
Sc 0.750 0.750 0.750
Tl 0.376 0.376 0.376
Tl 0.376 0.376 0.873
Tl 0.376 0.873 0.376
Tl 0.873 0.376 0.376



[13]
Crystalline CsOs2Cl8 at its relaxed geometry. Source: Alexandria via LeMat-Bulk, functional PBE.

total magnetization = 3.660 Bohr magnetons per cell
crystal system = triclinic
space group = P-1 (2)
uncorrected formation energy = -5.857 eV/f.u.

a b c (Å): 4.948 7.581 9.309
angles (deg): 79.78 74.66 89.96
Fractional positions:
Cs 0.000 0.000 0.000
Os 0.306 0.390 0.389
Os 0.694 0.610 0.611
Cl 0.210 0.579 0.581
Cl 0.212 0.144 0.577
Cl 0.397 0.210 0.205
Cl 0.397 0.645 0.204
Cl 0.603 0.355 0.796
Cl 0.603 0.790 0.795
Cl 0.788 0.856 0.423
Cl 0.790 0.421 0.419



[14]
Crystalline Ag12HgSe6 at its relaxed geometry. Source: Alexandria via LeMat-Bulk, functional PBE.

total magnetization = 0.000 Bohr magnetons per cell
crystal system = triclinic
space group = P-1 (2)
uncorrected formation energy = 0.036 eV/f.u.

a b c (Å): 7.429 7.430 7.448
angles (deg): 92.23 92.34 92.70
Fractional positions:
Ag 0.047 0.221 0.427
Ag 0.072 0.452 0.779
Ag 0.141 0.846 0.950
Ag 0.279 0.574 0.454
Ag 0.347 0.949 0.643
Ag 0.448 0.642 0.848
Ag 0.552 0.358 0.152
Ag 0.653 0.051 0.357
Ag 0.721 0.426 0.546
Ag 0.859 0.154 0.050
Ag 0.928 0.548 0.221
Ag 0.953 0.779 0.573
Hg 0.500 0.000 0.000
Se 0.178 0.885 0.323
Se 0.179 0.325 0.117
Se 0.383 0.322 0.676
Se 0.617 0.678 0.324
Se 0.821 0.675 0.883
Se 0.822 0.115 0.677



[15]
Crystalline Cs2BaGe2Se6 at its relaxed geometry. Source: Alexandria via LeMat-Bulk, functional PBE.

total magnetization = 0.000 Bohr magnetons per cell
crystal system = monoclinic
space group = C2/m (12)
uncorrected formation energy = -9.381 eV/f.u.

a b c (Å): 7.766 7.766 9.791
angles (deg): 112.68 112.68 59.82
Fractional positions:
Cs 0.199 0.199 0.195
Cs 0.801 0.801 0.805
Ba 0.000 0.000 0.500
Ge 0.456 0.456 0.740
Ge 0.544 0.544 0.260
Se 0.194 0.698 0.201
Se 0.268 0.268 0.632
Se 0.302 0.806 0.799
Se 0.698 0.194 0.201
Se 0.732 0.732 0.368
Se 0.806 0.302 0.799



[16]
Crystalline VMoPt at its relaxed geometry. Source: Alexandria via LeMat-Bulk, functional PBE.

total magnetization = 0.000 Bohr magnetons per cell
crystal system = monoclinic
space group = Cm (8)
energy relative to the lowest polymorph listed for this composition = 0.47 kcal/mol of atoms
ΔE_f = -0.260 eV/atom

a b c (Å): 4.774 4.774 5.481
angles (deg): 108.38 108.38 50.18
Fractional positions:
V 0.000 0.000 0.000
V 0.682 0.682 0.336
Mo 0.364 0.364 0.676
Mo 0.684 0.684 0.837
Pt 0.020 0.020 0.492
Pt 0.338 0.338 0.172



[17]
Crystalline AlCr2Br at its relaxed geometry. Source: Alexandria via LeMat-Bulk, functional PBE.

total magnetization = 7.710 Bohr magnetons per cell
crystal system = tetragonal
space group = P4/mmm (123)
energy relative to the lowest polymorph listed for this composition = 4.69 kcal/mol of atoms
uncorrected formation energy = 1.559 eV/f.u.

a b c (Å): 3.189 3.189 7.181
angles (deg): 90.00 90.00 90.00
Fractional positions:
Al 0.000 0.000 0.000
Cr 0.500 0.500 0.218
Cr 0.500 0.500 0.782
Br 0.000 0.000 0.500



[18]
Crystalline BeP2Cl at its relaxed geometry. Source: Alexandria via LeMat-Bulk, functional PBE.

total magnetization = 0.000 Bohr magnetons per cell
crystal system = monoclinic
space group = Cm (8)
energy relative to the lowest polymorph listed for this composition = 7.25 kcal/mol of atoms
uncorrected formation energy = -0.278 eV/f.u.

a b c (Å): 4.824 4.824 7.387
angles (deg): 104.93 104.93 33.74
Fractional positions:
Be 0.000 0.000 0.000
P 0.553 0.553 0.301
P 0.712 0.712 0.139
Cl 0.395 0.395 0.815



[19]
Crystalline MgBe5 at its relaxed geometry. Source: Alexandria via LeMat-Bulk, functional PBE.

total magnetization = 0.000 Bohr magnetons per cell
crystal system = monoclinic
space group = Cm (8)
energy relative to the lowest polymorph listed for this composition = 5.59 kcal/mol of atoms
ΔE_f = 0.298 eV/atom

a b c (Å): 4.557 4.557 5.618
angles (deg): 104.20 104.20 32.74
Fractional positions:
Mg 0.000 0.000 0.000
Be 0.290 0.290 0.128
Be 0.332 0.332 0.643
Be 0.644 0.644 0.736
Be 0.686 0.686 0.371
Be 0.969 0.969 0.439



[20]
Crystalline CuHgPd2Br at its relaxed geometry. Source: Alexandria via LeMat-Bulk, functional PBE.

total magnetization = 0.000 Bohr magnetons per cell
crystal system = tetragonal
space group = P4/mmm (123)
uncorrected formation energy = 2.577 eV/f.u.

a b c (Å): 4.800 4.800 4.879
angles (deg): 90.00 90.00 90.00
Fractional positions:
Cu 0.000 0.000 0.000
Hg 0.000 0.000 0.500
Pd 0.000 0.500 0.000
Pd 0.500 0.000 0.000
Br 0.500 0.500 0.500



[21]
Crystalline CoAgICl2 at its relaxed geometry. Source: Alexandria via LeMat-Bulk, functional PBE.

total magnetization = 2.515 Bohr magnetons per cell
crystal system = tetragonal
space group = P4/mmm (123)
uncorrected formation energy = -0.692 eV/f.u.

a b c (Å): 4.502 4.502 6.250
angles (deg): 90.00 90.00 90.00
Fractional positions:
Co 0.000 0.000 0.000
Ag 0.500 0.500 0.500
I 0.000 0.000 0.500
Cl 0.000 0.500 0.000
Cl 0.500 0.000 0.000



[22]
Crystalline Rb2HfWCl at its relaxed geometry. Source: Alexandria via LeMat-Bulk, functional PBE.

total magnetization = 3.304 Bohr magnetons per cell
crystal system = tetragonal
space group = P4/mmm (123)
uncorrected formation energy = 8.424 eV/f.u.

a b c (Å): 7.137 7.137 4.435
angles (deg): 90.00 90.00 90.00
Fractional positions:
Rb 0.000 0.500 0.000
Rb 0.500 0.000 0.000
Hf 0.000 0.000 0.500
W 0.500 0.500 0.000
Cl 0.500 0.500 0.500



[23]
Crystalline NpHgSb2 at its relaxed geometry. Source: Alexandria via LeMat-Bulk, functional PBE.

total magnetization = 3.200 Bohr magnetons per cell
crystal system = trigonal
space group = R-3m (166)
energy relative to the lowest polymorph listed for this composition = 7.84 kcal/mol of atoms
uncorrected formation energy = 0.789 eV/f.u.

a b c (Å): 8.953 8.953 8.953
angles (deg): 30.06 30.06 30.06
Fractional positions:
Np 0.000 0.000 0.000
Hg 0.500 0.500 0.500
Sb 0.394 0.394 0.394
Sb 0.606 0.606 0.606



[24]
Crystalline SmZn2Pd at its relaxed geometry. Source: Alexandria via LeMat-Bulk, functional PBE.

total magnetization = 0.000 Bohr magnetons per cell
crystal system = trigonal
space group = R-3m (166)
ΔE_f = -0.475 eV/atom

a b c (Å): 5.485 5.485 5.485
angles (deg): 46.69 46.69 46.69
Fractional positions:
Sm 0.000 0.000 0.000
Zn 0.214 0.214 0.214
Zn 0.786 0.786 0.786
Pd 0.500 0.500 0.500